[1]
# Ag3AsSe4 | Alexandria | PBE-GGA | relaxed
# Excess energy over the best structure of this formula in the dataset = 0.00 kcal/mol of atoms
# E_form (uncorrected) = -0.59 eV per formula unit
data_Ag3AsSe4
_symmetry_space_group_name_H-M 'P m n 21'
_symmetry_Int_Tables_number 31
_cell_length_a 8.328
_cell_length_b 7.368
_cell_length_c 6.979
_cell_angle_alpha 90.00
_cell_angle_beta 90.00
_cell_angle_gamma 90.00
loop_
_symmetry_equiv_pos_as_xyz
'x,y,z'
'-x+1/2,-y,z+1/2'
'-x,y,z'
'x+1/2,-y,z+1/2'
loop_
_atom_site_label
_atom_site_fract_x
_atom_site_fract_y
_atom_site_fract_z
Ag1 0.000 0.150 0.000
Ag2 0.235 0.311 0.455
As1 0.000 0.821 0.474
Se1 0.000 0.120 0.609
Se2 0.000 0.811 0.130
Se3 0.235 0.658 0.581

[2]
# Ag2As2Se | Alexandria | PBE-GGA | relaxed
# Excess energy over the best structure of this formula in the dataset = 2.23 kcal/mol of atoms
# E_form (uncorrected) = 1.84 eV per formula unit
data_Ag2As2Se
_symmetry_space_group_name_H-M 'I 4/m m m'
_symmetry_Int_Tables_number 139
_symmetry_space_group_name_Hall '-I 4 2'
_cell_length_a 4.541
_cell_length_b 4.541
_cell_length_c 10.442
_cell_angle_alpha 90.00
_cell_angle_beta 90.00
_cell_angle_gamma 90.00
loop_
_atom_site_label
_atom_site_fract_x
_atom_site_fract_y
_atom_site_fract_z
Ag1 0.000 0.500 0.250
As1 0.000 0.000 0.115
Se1 0.000 0.000 0.500

[3]
# Ag3AsSe3 | Alexandria | PBE-GGA | relaxed
# Excess energy over the best structure of this formula in the dataset = 0.38 kcal/mol of atoms
# E_form (uncorrected) = -0.63 eV per formula unit
data_Ag3AsSe3
_symmetry_space_group_name_H-M 'R 3 c'
_symmetry_Int_Tables_number 161
_symmetry_space_group_name_Hall 'R 3 -2"c'
_cell_length_a 11.4754
_cell_length_b 11.4754
_cell_length_c 9.1369
_cell_angle_alpha 90.00
_cell_angle_beta 90.00
_cell_angle_gamma 120.00
loop_
_atom_site_label
_atom_site_fract_x
_atom_site_fract_y
_atom_site_fract_z
Ag1 0.0293 0.4048 0.0000
As1 0.0000 0.0000 0.1218
Se1 0.2145 0.4508 0.6570

[4]
# AgAsSe | Alexandria | PBE-GGA | relaxed
# E_form (uncorrected) = 0.27 eV per formula unit
data_AgAsSe
_symmetry_space_group_name_H-M 'P 1 21 1'
_symmetry_Int_Tables_number 4
_cell_length_a 3.222
_cell_length_b 6.364
_cell_length_c 6.604
_cell_angle_alpha 90.00
_cell_angle_beta 103.90
_cell_angle_gamma 90.00
loop_
_symmetry_equiv_pos_as_xyz
'x,y,z'
'-x,y+1/2,-z'
loop_
_atom_site_label
_atom_site_fract_x
_atom_site_fract_y
_atom_site_fract_z
Ag1 0.111 0.000 0.225
As1 0.446 0.857 0.892
Se1 0.319 0.122 0.634

[5]
# Ag2As2Se5 | Alexandria | PBE-GGA | relaxed
# Excess energy over the best structure of this formula in the dataset = 0.46 kcal/mol of atoms
# E_form (uncorrected) = -0.05 eV per formula unit
data_Ag2As2Se5
_symmetry_space_group_name_H-M 'I m a 2'
_symmetry_Int_Tables_number 46
_cell_length_a 16.014
_cell_length_b 6.794
_cell_length_c 8.388
_cell_angle_alpha 90.00
_cell_angle_beta 90.00
_cell_angle_gamma 90.00
loop_
_symmetry_equiv_pos_as_xyz
'x,y,z'
'-x,-y,z'
'-x+1/2,y,z'
'x+1/2,-y,z'
'x+1/2,y+1/2,z+1/2'
'-x+1/2,-y+1/2,z+1/2'
'-x,y+1/2,z+1/2'
'x,-y+1/2,z+1/2'
loop_
_atom_site_label
_atom_site_fract_x
_atom_site_fract_y
_atom_site_fract_z
Ag1 0.121 0.005 0.000
As1 0.000 0.000 0.452
As2 0.250 0.003 0.516
Se1 0.057 0.714 0.152
Se2 0.144 0.167 0.349
Se3 0.250 0.690 0.372

[6]
# Ag2As2Se | Alexandria | PBE-GGA | relaxed
# Excess energy over the best structure of this formula in the dataset = 0.06 kcal/mol of atoms
# E_form (uncorrected) = 1.37 eV per formula unit
data_Ag2As2Se
_symmetry_space_group_name_H-M 'P 4/m b m'
_symmetry_Int_Tables_number 127
_symmetry_space_group_name_Hall '-P 4 2ab'
_cell_length_a 8.345
_cell_length_b 8.345
_cell_length_c 2.903
_cell_angle_alpha 90.00
_cell_angle_beta 90.00
_cell_angle_gamma 90.00
loop_
_atom_site_label
_atom_site_fract_x
_atom_site_fract_y
_atom_site_fract_z
Ag1 0.178 0.322 0.000
As1 0.113 0.613 0.500
Se1 0.000 0.000 0.000

[7]
# AgAsSe | Alexandria | PBE-GGA | relaxed
# E_form (uncorrected) = 1.11 eV per formula unit
data_AgAsSe
_symmetry_space_group_name_H-M 'F -4 3 m'
_symmetry_Int_Tables_number 216
_symmetry_space_group_name_Hall 'F -4 2 3'
_cell_length_a 6.553
_cell_length_b 6.553
_cell_length_c 6.553
_cell_angle_alpha 90.00
_cell_angle_beta 90.00
_cell_angle_gamma 90.00
loop_
_atom_site_label
_atom_site_fract_x
_atom_site_fract_y
_atom_site_fract_z
Ag1 0.000 0.000 0.000
As1 0.250 0.250 0.250
Se1 0.000 0.000 0.500

[8]
# Ag3As2Se4 | Alexandria | PBE-GGA | relaxed
# Excess energy over the best structure of this formula in the dataset = 0.00 kcal/mol of atoms
# E_form (uncorrected) = -0.11 eV per formula unit
data_Ag3As2Se4
_symmetry_space_group_name_H-M 'C 1 2/c 1'
_symmetry_Int_Tables_number 15
_cell_length_a 12.118
_cell_length_b 12.372
_cell_length_c 5.644
_cell_angle_alpha 90.00
_cell_angle_beta 94.42
_cell_angle_gamma 90.00
loop_
_symmetry_equiv_pos_as_xyz
'x,y,z'
'-x,-y,-z'
'-x,y,-z+1/2'
'x,-y,z+1/2'
'x+1/2,y+1/2,z'
'-x+1/2,-y+1/2,-z'
'-x+1/2,y+1/2,-z+1/2'
'x+1/2,-y+1/2,z+1/2'
loop_
_atom_site_label
_atom_site_fract_x
_atom_site_fract_y
_atom_site_fract_z
Ag1 0.000 0.033 0.250
Ag2 0.130 0.377 0.027
As1 0.155 0.202 0.487
Se1 0.087 0.386 0.521
Se2 0.152 0.134 0.896